The following is a GGA+U calculation of KRb2CoF8 after structural relaxation, from the Alexandria database. Values from VASP.

Cell and atoms, written as Quantum ESPRESSO input:
```
&SYSTEM
  ibrav = 0, nat = 12, ntyp = 4
/
ATOMIC_SPECIES
F 19.00 F.upf
Rb 85.47 Rb.upf
K 39.10 K.upf
Co 58.93 Co.upf
ATOMIC_POSITIONS angstrom
F -0.212 1.774 6.179
F 2.479 1.130 3.672
F 1.626 0.482 0.610
Rb 2.587 2.555 6.121
F 2.913 5.234 7.232
F 4.665 0.942 0.697
F 4.750 3.942 1.664
F 2.059 4.585 4.170
F -0.127 4.774 7.145
K -0.205 0.334 3.818
Co 0.000 0.000 0.000
Rb 1.951 3.160 1.721
CELL_PARAMETERS angstrom
5.375 -0.405 -0.277
-0.427 5.453 0.482
-0.410 0.668 7.637
```

Its space group is P-1, No. 2. The calculation puts the total moment at 2.00 μB/cell. The calculation puts the raw total energy at -4.062 eV/atom.